# LaSiAg | the Alexandria database | PBE | relaxed
data_LaSiAg
_chemical_formula_sum 'La4 Si4 Ag4'
_space_group_name_H-M_alt 'F m m 2'
_space_group_IT_number 42
_space_group_name_Hall 'F 2 -2'
_cell_length_a 4.8383
_cell_length_b 4.8465
_cell_length_c 11.4273
_cell_angle_alpha 90.00
_cell_angle_beta 90.00
_cell_angle_gamma 90.00
loop_
_atom_site_label
_atom_site_type_symbol
_atom_site_fract_x
_atom_site_fract_y
_atom_site_fract_z
La1 La 0.0000 0.0000 0.0000
Si1 Si 0.0000 0.0000 0.6834
Ag1 Ag 0.0000 0.0000 0.2981
# N(E_F) ... 2.58 states/eV/f.u.
# Theoretical density ... 6.813 Mg/m³
# Total energy ... -4.517 eV/atom
# Uncorrected formation energy ... -116 meV/atom

***

# LaSiAg | the Alexandria database | PBE | relaxed
data_LaSiAg
_chemical_formula_sum 'La4 Si4 Ag4'
_space_group_name_H-M_alt 'C m c m'
_space_group_IT_number 63
_space_group_name_Hall '-C 2c 2'
_cell_length_a 5.8804
_cell_length_b 7.9703
_cell_length_c 6.1691
_cell_angle_alpha 90.00
_cell_angle_beta 90.00
_cell_angle_gamma 90.00
loop_
_atom_site_label
_atom_site_type_symbol
_atom_site_fract_x
_atom_site_fract_y
_atom_site_fract_z
La1 La 0.0000 0.1467 0.2500
Si1 Si 0.0000 0.2414 0.7500
Ag1 Ag 0.0000 0.5000 0.0000
# N(E_F) ... 0.24 states/eV/f.u.
# Theoretical density ... 6.314 Mg/m³
# Total energy ... -4.816 eV/atom
# Uncorrected formation energy ... -416 meV/atom

***

# LaSi2Ag | the Alexandria database | PBE | relaxed
data_LaSi2Ag
_chemical_formula_sum 'La4 Si8 Ag4'
_space_group_name_H-M_alt 'C m c m'
_space_group_IT_number 63
_space_group_name_Hall '-C 2c 2'
_cell_length_a 4.3491
_cell_length_b 17.6863
_cell_length_c 4.2749
_cell_angle_alpha 90.00
_cell_angle_beta 90.00
_cell_angle_gamma 90.00
loop_
_atom_site_label
_atom_site_type_symbol
_atom_site_fract_x
_atom_site_fract_y
_atom_site_fract_z
La1 La 0.0000 0.0980 0.2500
Si1 Si 0.0000 0.3341 0.2500
Si2 Si 0.0000 0.4668 0.2500
Ag1 Ag 0.0000 0.2478 0.7500
# N(E_F) ... 1.14 states/eV/f.u.
# Theoretical density ... 6.119 Mg/m³
# Total energy ... -5.204 eV/atom
# Uncorrected formation energy ... -548 meV/atom